1.
TiFeCo: relaxed, GGA-PBE.

* ΔH_f (0 K): 0.0572 eV/atom
* E above lowest polymorph: 68 meV/atom
* calculated density: 6.793 g cm⁻³

Cell and atoms, written as POSCAR:
```
TiFeCo
1.0
10.6876 0.0000 0.0000
0.0000 2.8188 0.0000
0.0000 0.0000 5.2791
Ti Fe Co
4 4 4
direct
0.2067 0.2500 0.0550
0.2933 0.7500 0.5550
0.7067 0.2500 0.4450
0.7933 0.7500 0.9450
0.1015 0.2500 0.5003
0.3985 0.7500 0.0003
0.6015 0.2500 0.9997
0.8985 0.7500 0.4997
0.0433 0.7500 0.8410
0.4567 0.2500 0.3410
0.5433 0.7500 0.6590
0.9567 0.2500 0.1590
```

---

2.
TiFe3Co: relaxed, GGA-PBE.

* ΔH_f (0 K): 1.3150 eV/atom
* E above lowest polymorph: 524 meV/atom
* calculated density: 5.993 g cm⁻³

Cell and atoms, written as POSCAR:
```
TiFe3Co
1.0
4.2362 0.0000 0.0000
0.0000 4.2362 0.0000
0.0000 0.0000 4.2362
Ti Fe Co
1 3 1
direct
0.0000 0.0000 0.0000
0.0000 0.0000 0.5000
0.0000 0.5000 0.0000
0.5000 0.0000 0.0000
0.5000 0.5000 0.5000
```

---

3.
Ti4FeCo: relaxed, GGA-PBE.

* ΔH_f (0 K): -0.2560 eV/atom
* E above lowest polymorph: 4 meV/atom
* calculated density: 5.968 g cm⁻³

Cell and atoms, written as POSCAR:
```
Ti4FeCo
1.0
4.7731 -2.1115 0.0000
4.7731 2.1115 0.0000
-0.0082 0.0000 4.2273
Ti Fe Co
4 1 1
direct
0.1547 0.1547 0.4994
0.3450 0.3450 0.0005
0.6550 0.6550 0.9995
0.8453 0.8453 0.5006
0.0000 0.0000 0.0000
0.5000 0.5000 0.5000
```

---

4.
TiFe4Co: relaxed, GGA-PBE.

* ΔH_f (0 K): -0.0684 eV/atom
* calculated density: 7.530 g cm⁻³

Cell and atoms, written as POSCAR:
```
TiFe4Co
1.0
0.0000 3.3143 3.3143
3.3143 0.0000 3.3143
3.3143 3.3143 0.0000
Ti Fe Co
1 4 1
direct
0.0000 0.0000 0.0000
0.3752 0.3752 0.3752
0.3752 0.3752 0.8745
0.3752 0.8745 0.3752
0.8745 0.3752 0.3752
0.7500 0.7500 0.7500
```

---

5.
Ti3Fe2Co: relaxed, GGA-PBE.

* ΔH_f (0 K): -0.4008 eV/atom
* calculated density: 6.720 g cm⁻³

Cell and atoms, written as POSCAR:
```
Ti3Fe2Co
1.0
2.9648 0.0000 0.0000
0.0000 2.9648 0.0000
0.0000 0.0000 8.8336
Ti Fe Co
3 2 1
direct
0.0000 0.0000 0.0000
0.0000 0.0000 0.3323
0.0000 0.0000 0.6677
0.5000 0.5000 0.1678
0.5000 0.5000 0.8322
0.5000 0.5000 0.5000
```

---

6.
Ti8FeCo2: relaxed, GGA-PBE.

* ΔH_f (0 K): -0.1947 eV/atom
* calculated density: 5.527 g cm⁻³

Cell and atoms, written as POSCAR:
```
Ti8FeCo2
1.0
7.0393 -2.1698 0.0000
7.0393 2.1698 0.0000
-0.9893 0.0000 5.4748
Ti Fe Co
8 1 2
direct
0.0338 0.0338 0.2521
0.1861 0.1861 0.8128
0.3335 0.3335 0.5409
0.4100 0.4100 0.0546
0.5900 0.5900 0.9454
0.6665 0.6665 0.4591
0.8139 0.8139 0.1872
0.9662 0.9662 0.7479
0.5000 0.5000 0.5000
0.2067 0.2067 0.2278
0.7933 0.7933 0.7722
```

---

7.
Ti3Fe2Co2: relaxed, GGA-PBE.

* ΔH_f (0 K): -0.2631 eV/atom
* calculated density: 6.938 g cm⁻³

Cell and atoms, written as POSCAR:
```
Ti3Fe2Co2
1.0
2.0618 1.1904 6.0626
-2.0618 1.1904 6.0626
0.0000 -2.3808 6.0626
Ti Fe Co
3 2 2
direct
0.0000 0.0000 0.0000
0.4270 0.4270 0.4270
0.5730 0.5730 0.5730
0.2872 0.2872 0.2872
0.7128 0.7128 0.7128
0.1427 0.1427 0.1427
0.8573 0.8573 0.8573
```

---

8.
TiFeCo4: relaxed, GGA-PBE.

* ΔH_f (0 K): -0.1489 eV/atom
* E above lowest polymorph: 0 meV/atom
* calculated density: 7.814 g cm⁻³

Cell and atoms, written as POSCAR:
```
TiFeCo4
1.0
0.0000 3.3041 3.3041
3.3041 0.0000 3.3041
3.3041 3.3041 0.0000
Ti Fe Co
1 1 4
direct
0.0000 0.0000 0.0000
0.7500 0.7500 0.7500
0.3753 0.3753 0.3753
0.3753 0.3753 0.8742
0.3753 0.8742 0.3753
0.8742 0.3753 0.3753
```

---

Q: Number 8 is which compound?
A: TiFeCo4